[1]
{"formula": "Y2AlSn2", "functional": "GGA-PBE", "state": "optimized geometry", "lattice": [[4.650, 0.000, 0.000], [0.000, 6.774, 0.000], [-2.325, 0.000, 8.416]], "species": ["Y", "Y", "Y", "Y", "Al", "Al", "Sn", "Sn", "Sn", "Sn"], "frac_coords": [[0.989, 0.730, 0.979], [0.800, 0.443, 0.599], [0.200, 0.943, 0.401], [0.011, 0.230, 0.021], [0.403, 0.049, 0.806], [0.597, 0.549, 0.194], [0.423, 0.462, 0.846], [0.825, 0.951, 0.650], [0.175, 0.451, 0.350], [0.577, 0.962, 0.154]], "space_group": "Cmc2_1"}



[2]
{"formula": "Y3AlSn2", "functional": "GGA-PBE", "state": "optimized geometry", "lattice": [[-2.329, -1.294, 3.546], [4.390, -10.979, -1.124], [9.366, 3.003, 7.248]], "species": ["Y", "Y", "Y", "Y", "Y", "Y", "Y", "Y", "Y", "Y", "Y", "Y", "Al", "Al", "Al", "Al", "Sn", "Sn", "Sn", "Sn", "Sn", "Sn", "Sn", "Sn"], "frac_coords": [[0.250, 0.379, 0.051], [0.750, 0.621, 0.949], [0.750, 0.879, 0.449], [0.250, 0.121, 0.551], [0.250, 0.705, 0.216], [0.750, 0.295, 0.784], [0.750, 0.205, 0.284], [0.250, 0.795, 0.716], [0.250, 0.439, 0.374], [0.750, 0.561, 0.626], [0.750, 0.939, 0.126], [0.250, 0.061, 0.874], [0.250, 0.130, 0.131], [0.750, 0.870, 0.869], [0.750, 0.630, 0.369], [0.250, 0.370, 0.631], [0.250, 0.689, 0.489], [0.750, 0.311, 0.511], [0.750, 0.189, 0.011], [0.250, 0.811, 0.989], [0.250, 0.996, 0.313], [0.750, 0.004, 0.687], [0.750, 0.496, 0.187], [0.250, 0.504, 0.813]], "space_group": "Pnma"}



[3]
{"formula": "YAl4Sn", "functional": "GGA-PBE", "state": "optimized geometry", "lattice": [[5.560, 0.000, 0.000], [2.780, 4.815, 0.000], [2.780, 1.605, 4.540]], "species": ["Y", "Sn", "Al", "Al", "Al", "Al"], "frac_coords": [[0.250, 0.250, 0.250], [0.000, 0.000, 0.000], [0.625, 0.625, 0.125], [0.625, 0.125, 0.625], [0.625, 0.625, 0.625], [0.125, 0.625, 0.625]], "space_group": "F-43m"}



[4]
{"formula": "Y2AlSn", "functional": "GGA-PBE", "state": "optimized geometry", "lattice": [[-3.316, -0.245, 1.968], [-0.930, -3.194, -1.965], [3.082, -3.800, 4.719]], "species": ["Y", "Y", "Sn", "Al"], "frac_coords": [[0.000, 0.000, 0.746], [0.000, 0.000, 0.254], [0.500, 0.500, 0.000], [0.500, 0.500, 0.500]], "space_group": "P4/mmm"}



[5]
{"formula": "Y2AlSn", "functional": "GGA-PBE", "state": "optimized geometry", "lattice": [[4.195, 0.000, 0.000], [0.000, 6.046, -0.127], [0.000, -3.183, 8.409]], "species": ["Y", "Y", "Y", "Y", "Al", "Al", "Sn", "Sn"], "frac_coords": [[0.750, 0.217, 0.433], [0.250, 0.783, 0.567], [0.250, 0.774, 0.073], [0.750, 0.226, 0.927], [0.750, 0.663, 0.291], [0.250, 0.337, 0.709], [0.250, 0.337, 0.210], [0.750, 0.663, 0.790]], "space_group": "P2_1/m"}



[6]
{"formula": "YAl2Sn", "functional": "GGA-PBE", "state": "optimized geometry", "lattice": [[4.385, 0.000, 0.000], [0.000, 4.439, 0.000], [0.000, 0.000, 4.439]], "species": ["Y", "Sn", "Al", "Al"], "frac_coords": [[0.500, 0.000, 0.000], [0.500, 0.500, 0.500], [0.000, 0.000, 0.500], [0.000, 0.500, 0.000]], "space_group": "P4/mmm"}



[7]
{"formula": "Y2AlSn", "functional": "GGA-PBE", "state": "optimized geometry", "lattice": [[4.300, 0.000, 0.000], [0.000, 4.834, 0.000], [0.000, 0.000, 4.834]], "species": ["Y", "Y", "Sn", "Al"], "frac_coords": [[0.000, 0.000, 0.500], [0.000, 0.500, 0.000], [0.500, 0.000, 0.000], [0.500, 0.500, 0.500]], "space_group": "P4/mmm"}



[8]
{"formula": "Y6Al2Sn", "functional": "GGA-PBE", "state": "optimized geometry", "lattice": [[8.138, -0.071, -3.150], [-4.266, 7.249, -2.324], [-0.261, 0.071, 8.722]], "species": ["Y", "Y", "Y", "Y", "Y", "Y", "Y", "Y", "Y", "Y", "Y", "Y", "Al", "Al", "Al", "Al", "Sn", "Sn"], "frac_coords": [[0.541, 0.725, 0.816], [0.459, 0.275, 0.184], [0.091, 0.275, 0.816], [0.909, 0.725, 0.184], [0.798, 0.758, 0.556], [0.202, 0.242, 0.444], [0.202, 0.758, 0.959], [0.798, 0.242, 0.041], [0.705, 0.383, 0.678], [0.295, 0.617, 0.322], [0.295, 0.973, 0.678], [0.705, 0.027, 0.322], [0.500, 0.380, 0.880], [0.500, 0.620, 0.120], [0.643, 0.000, 0.643], [0.357, 0.000, 0.357], [0.000, 0.500, 0.500], [0.000, 0.000, 0.000]], "space_group": "Immm"}



[9]
{"formula": "Y2AlSn2", "functional": "GGA-PBE", "state": "optimized geometry", "lattice": [[-4.252, -4.934, -3.632], [5.952, -4.375, -1.026], [-0.894, -2.145, 3.960]], "species": ["Y", "Y", "Y", "Y", "Sn", "Sn", "Sn", "Sn", "Al", "Al"], "frac_coords": [[0.173, 0.673, 0.500], [0.673, 0.827, 0.500], [0.827, 0.327, 0.500], [0.327, 0.173, 0.500], [0.363, 0.863, 0.000], [0.863, 0.637, 0.000], [0.637, 0.137, 0.000], [0.137, 0.363, 0.000], [0.000, 0.000, 0.000], [0.500, 0.500, 0.000]], "space_group": "P4/mbm"}



[10]
{"formula": "Y2AlSn2", "functional": "GGA-PBE", "state": "optimized geometry", "lattice": [[-1.784, -5.861, -4.904], [5.982, 2.063, -4.642], [2.715, -2.736, 2.282]], "species": ["Y", "Y", "Y", "Y", "Sn", "Sn", "Sn", "Sn", "Al", "Al"], "frac_coords": [[0.333, 0.833, 0.000], [0.833, 0.667, 0.000], [0.667, 0.167, 0.000], [0.167, 0.333, 0.000], [0.138, 0.638, 0.500], [0.638, 0.862, 0.500], [0.862, 0.362, 0.500], [0.362, 0.138, 0.500], [0.000, 0.000, 0.000], [0.500, 0.500, 0.000]], "space_group": "P4/mbm"}



[11]
{"formula": "Y2AlSn", "functional": "GGA-PBE", "state": "optimized geometry", "lattice": [[-1.761, 0.199, 3.053], [-1.307, -2.928, 1.477], [8.152, -2.291, 6.890]], "species": ["Y", "Y", "Sn", "Al"], "frac_coords": [[0.097, 0.097, 0.709], [0.903, 0.903, 0.291], [0.000, 0.000, 0.000], [0.500, 0.500, 0.500]], "space_group": "R-3m"}



[12]
{"formula": "Y2AlSn", "functional": "GGA-PBE", "state": "optimized geometry", "lattice": [[8.155, 0.000, 0.000], [0.000, 8.155, 0.000], [4.078, 4.078, 3.327]], "species": ["Y", "Y", "Y", "Y", "Sn", "Sn", "Al", "Al"], "frac_coords": [[0.619, 0.125, 0.250], [0.131, 0.625, 0.250], [0.375, 0.381, 0.750], [0.875, 0.869, 0.750], [0.000, 0.000, 0.000], [0.750, 0.250, 0.500], [0.500, 0.500, 0.000], [0.250, 0.750, 0.500]], "space_group": "I-42d"}



Across the entries above, calculated formation energy takes the values -0.528; -0.642; -0.214; -0.479; -0.638; -0.389; -0.517; -0.396; -0.548; -0.354; -0.068; -0.187 eV per atom, respectively.
Across the entries above, E_tot takes the values -5.4630; -5.8322; -4.4535; -5.6474; -5.8060; -4.8771; -5.6850; -5.9823; -5.4828; -5.2897; -5.2367; -5.3558 eV per atom, respectively.
Across the entries above, DOS(E_F) takes the values 5.65; 15.93; 3.37; 3.45; 6.76; 1.67; 2.70; 15.29; 6.43; 10.64; 3.12; 5.77 states/eV per cell, respectively.